DFT (GGA-PBE) results for a geometry-optimized AlPt5 structure.

* magnetization: 0.000 μB per cell
* calculated density: 18.162 g/cm3
* VASP energy: -36.43 eV/cell

```
AlPt5
1.0
2.803 0.000 0.000
0.000 2.803 0.000
0.000 0.000 11.664
Al Pt
1 5
direct
0.000 0.000 0.000 Al
0.000 0.000 0.328 Pt
0.000 0.000 0.672 Pt
0.500 0.500 0.146 Pt
0.500 0.500 0.500 Pt
0.500 0.500 0.854 Pt
```

***

DFT (GGA-PBE) results for a geometry-optimized Li2Zn3Cd2 structure.

* magnetization: 0.000 μB per cell
* calculated density: 6.233 g/cm3
* energy above the most stable polymorph in this dataset: 0.0 kJ per mole of atoms

```
Li2Zn3Cd2
1.0
3.921 -2.296 0.000
3.921 2.296 0.000
-2.785 0.000 6.435
Li Zn Cd
2 3 2
direct
0.069 0.069 0.212 Li
0.931 0.931 0.788 Li
0.358 0.358 0.079 Zn
0.500 0.500 0.500 Zn
0.642 0.642 0.921 Zn
0.220 0.220 0.657 Cd
0.780 0.780 0.343 Cd
```

***

What did the first record say?
DFT (GGA-PBE) results for a geometry-optimized AlPt5 structure.

* magnetization: 0.000 μB per cell
* calculated density: 18.162 g/cm3
* VASP energy: -36.43 eV/cell

```
AlPt5
1.0
2.803 0.000 0.000
0.000 2.803 0.000
0.000 0.000 11.664
Al Pt
1 5
direct
0.000 0.000 0.000 Al
0.000 0.000 0.328 Pt
0.000 0.000 0.672 Pt
0.500 0.500 0.146 Pt
0.500 0.500 0.500 Pt
0.500 0.500 0.854 Pt
```

***

Look up the magnetization of the second one. 0.000 μB per cell